Computed, not measured: a relaxed structure of K4Hg3Bi at the GGA-PBE level of DFT.

Values from the calculation:
For the formation energy, the calculation gives -266 meV/atom. As for the total energy: -11.30 eV/f.u. Its density of states at the Fermi level is 4.79 states/eV/f.u. For the volume, the calculation gives 41.65 A^3/atom.

Structure (CIF):
```
data_K4Hg3Bi
_chemical_formula_sum 'K4 Hg3 Bi1'
_cell_length_a 4.9776
_cell_length_b 5.2794
_cell_length_c 12.6794
_cell_angle_alpha 90.00
_cell_angle_beta 90.00
_cell_angle_gamma 90.00
_space_group_name_H-M_alt 'P m m 2'
_space_group_IT_number 25
loop_
_space_group_symop_operation_xyz
'x,y,z'
'-x,-y,z'
'-x,y,z'
'x,-y,z'
loop_
_atom_site_label
_atom_site_type_symbol
_atom_site_fract_x
_atom_site_fract_y
_atom_site_fract_z
K1 K 0.0000 0.0000 0.0000
K2 K 0.0000 0.5000 0.4866
K3 K 0.5000 0.0000 0.7035
K4 K 0.5000 0.5000 0.2120
Hg1 Hg 0.0000 0.5000 0.7774
Hg2 Hg 0.5000 0.0000 0.4226
Hg3 Hg 0.5000 0.5000 0.9150
Bi1 Bi 0.0000 0.0000 0.2870
```

=====

Computed, not measured: a relaxed structure of Pm3Nd7In at the GGA-PBE level of DFT.

Values from the calculation:
For the formation energy, the calculation gives 89 meV/atom. As for the total energy: -49.39 eV/f.u. Its density of states at the Fermi level is 16.44 states/eV/f.u. For the volume, the calculation gives 35.21 A^3/atom.

Structure (CIF):
```
data_Pm3Nd7In
_chemical_formula_sum 'Pm3 Nd7 In1'
_cell_length_a 7.1535
_cell_length_b 7.1535
_cell_length_c 8.7402
_cell_angle_alpha 90.00
_cell_angle_beta 90.00
_cell_angle_gamma 120.00
_space_group_name_H-M_alt 'P 3 m 1'
_space_group_IT_number 156
loop_
_space_group_symop_operation_xyz
'x,y,z'
'-y,x-y,z'
'-x+y,-x,z'
'-y,-x,z'
'-x+y,y,z'
'x,x-y,z'
loop_
_atom_site_label
_atom_site_type_symbol
_atom_site_fract_x
_atom_site_fract_y
_atom_site_fract_z
Pm1 Pm 0.0004 0.5002 0.0000
Nd1 Nd 0.1690 0.3380 0.3429
Nd2 Nd 0.3374 0.1687 0.6682
Nd3 Nd 0.6667 0.3333 0.3308
In1 In 0.3333 0.6667 0.6739
```

=====

Computed, not measured: a relaxed structure of Mg2SnH at the GGA-PBE level of DFT.

Values from the calculation:
As for the total energy: -10.54 eV/f.u. Its density of states at the Fermi level is 1.06 states/eV/f.u. For the volume, the calculation gives 20.08 A^3/atom.

Structure (CIF):
```
data_Mg2SnH
_chemical_formula_sum 'Mg8 Sn4 H4'
_cell_length_a 5.7089
_cell_length_b 5.6147
_cell_length_c 10.5040
_cell_angle_alpha 90.00
_cell_angle_beta 107.41
_cell_angle_gamma 90.00
_space_group_name_H-M_alt 'P 1 2/c 1'
_space_group_IT_number 13
loop_
_space_group_symop_operation_xyz
'x,y,z'
'-x,-y,-z'
'-x,y,-z+1/2'
'x,-y,z+1/2'
loop_
_atom_site_label
_atom_site_type_symbol
_atom_site_fract_x
_atom_site_fract_y
_atom_site_fract_z
Mg1 Mg 0.0568 0.2267 0.0927
Mg2 Mg 0.2793 0.1883 0.8284
Sn1 Sn 0.4302 0.3170 0.3810
H1 H 0.0396 0.1391 0.6215
```

=====

Computed, not measured: a relaxed structure of TaBRu3 at the GGA-PBE level of DFT.

Values from the calculation:
For the formation energy, the calculation gives -43 meV/atom. As for the total energy: -46.57 eV/f.u. Its density of states at the Fermi level is 2.79 states/eV/f.u. For the volume, the calculation gives 13.81 A^3/atom.

Structure (CIF):
```
data_TaBRu3
_chemical_formula_sum 'Ta4 B4 Ru12'
_cell_length_a 5.2374
_cell_length_b 6.9855
_cell_length_c 7.5477
_cell_angle_alpha 90.00
_cell_angle_beta 90.00
_cell_angle_gamma 90.00
_space_group_name_H-M_alt 'P n m a'
_space_group_IT_number 62
loop_
_space_group_symop_operation_xyz
'x,y,z'
'-x,-y,-z'
'-x+1/2,-y,z+1/2'
'x+1/2,y,-z+1/2'
'x+1/2,-y+1/2,-z+1/2'
'-x+1/2,y+1/2,z+1/2'
'-x,y+1/2,-z'
'x,-y+1/2,z'
loop_
_atom_site_label
_atom_site_type_symbol
_atom_site_fract_x
_atom_site_fract_y
_atom_site_fract_z
Ta1 Ta 0.0000 0.0000 0.0000
B1 B 0.1539 0.2500 0.4619
Ru1 Ru 0.0549 0.5749 0.3449
Ru2 Ru 0.2014 0.7500 0.7008
```

=====

Computed, not measured: a relaxed structure of SmHo3Er8 at the GGA-PBE level of DFT.

Values from the calculation:
For the formation energy, the calculation gives 328 meV/atom. As for the total energy: -51.02 eV/f.u. Its density of states at the Fermi level is 16.07 states/eV/f.u. For the volume, the calculation gives 33.35 A^3/atom.

Structure (CIF):
```
data_SmHo3Er8
_chemical_formula_sum 'Sm2 Ho6 Er16'
_cell_length_a 6.3678
_cell_length_b 11.1587
_cell_length_c 11.2639
_cell_angle_alpha 90.00
_cell_angle_beta 90.00
_cell_angle_gamma 90.00
_space_group_name_H-M_alt 'I m m m'
_space_group_IT_number 71
_space_group_name_Hall '-I 2 2'
loop_
_atom_site_label
_atom_site_type_symbol
_atom_site_fract_x
_atom_site_fract_y
_atom_site_fract_z
Sm1 Sm 0.0000 0.0000 0.0000
Ho1 Ho 0.0000 0.0000 0.5000
Ho2 Ho 0.0000 0.5000 0.2460
Er1 Er 0.0000 0.1685 0.2505
Er2 Er 0.2479 0.2542 0.0000
```

=====

Computed, not measured: a relaxed structure of KBiPS4 at the GGA-PBE level of DFT.

Values from the calculation:
As for the total energy: -30.18 eV/f.u. The formation energy without anion corrections is -0.4695 eV/atom. Its density of states at the Fermi level is 3.80 states/eV/f.u. For the volume, the calculation gives 27.23 A^3/atom.

Structure (CIF):
```
data_KBiPS4
_chemical_formula_sum 'K2 Bi2 P2 S8'
_cell_length_a 6.7612
_cell_length_b 6.6217
_cell_length_c 8.9123
_cell_angle_alpha 90.00
_cell_angle_beta 107.16
_cell_angle_gamma 90.00
_space_group_name_H-M_alt 'P 1 21/m 1'
_space_group_IT_number 11
loop_
_space_group_symop_operation_xyz
'x,y,z'
'-x,-y,-z'
'-x,y+1/2,-z'
'x,-y+1/2,z'
loop_
_atom_site_label
_atom_site_type_symbol
_atom_site_fract_x
_atom_site_fract_y
_atom_site_fract_z
K1 K 0.2291 0.2500 0.4347
Bi1 Bi 0.2215 0.2500 0.9596
P1 P 0.3094 0.7500 0.1949
S1 S 0.1059 0.7500 0.3279
S2 S 0.1218 0.7500 0.9496
S3 S 0.4924 0.5016 0.2370
```

=====

Computed, not measured: a relaxed structure of CsC at the GGA-PBE level of DFT.

Values from the calculation:
For the formation energy, the calculation gives 2261 meV/atom. As for the total energy: -5.55 eV/f.u. For the volume, the calculation gives 39.60 A^3/atom.

Structure (CIF):
```
data_CsC
_chemical_formula_sum 'Cs4 C4'
_cell_length_a 6.8168
_cell_length_b 6.8168
_cell_length_c 6.8168
_cell_angle_alpha 90.00
_cell_angle_beta 90.00
_cell_angle_gamma 90.00
_space_group_name_H-M_alt 'F m -3 m'
_space_group_IT_number 225
_space_group_name_Hall '-F 4 2 3'
loop_
_atom_site_label
_atom_site_type_symbol
_atom_site_fract_x
_atom_site_fract_y
_atom_site_fract_z
Cs1 Cs 0.0000 0.0000 0.0000
C1 C 0.0000 0.0000 0.5000
```

=====

Computed, not measured: a relaxed structure of AlSiTeW2 at the GGA-PBE level of DFT.

Values from the calculation:
As for the total energy: -32.19 eV/f.u. The formation energy without anion corrections is 1.2044 eV/atom. Its density of states at the Fermi level is 5.05 states/eV/f.u. For the volume, the calculation gives 19.39 A^3/atom.

Structure (CIF):
```
data_AlSiTeW2
_chemical_formula_sum 'Al1 Si1 Te1 W2'
_cell_length_a 4.6934
_cell_length_b 4.6934
_cell_length_c 4.4002
_cell_angle_alpha 90.00
_cell_angle_beta 90.00
_cell_angle_gamma 90.00
_space_group_name_H-M_alt 'P 4/m m m'
_space_group_IT_number 123
_space_group_name_Hall '-P 4 2'
loop_
_atom_site_label
_atom_site_type_symbol
_atom_site_fract_x
_atom_site_fract_y
_atom_site_fract_z
Al1 Al 0.0000 0.0000 0.0000
Si1 Si 0.0000 0.0000 0.5000
Te1 Te 0.5000 0.5000 0.0000
W1 W 0.0000 0.5000 0.5000
```

=====

Values for magnetic moment, μB per atom, ordered as above
0.00, 0.00, 0.00, 0.00, 0.00, 0.00, 1.50, 0.00